No. 1
## KBAs2Se (GGA-PBE)

Data for a relaxed structure of KBAs2Se.

Output
The calculation puts the uncorrected formation energy at 2224 meV/atom. The calculation puts the mass density at 2.685 Mg/m³. Its volume is 34.47 Å³/atom.

a b c (Å): 5.549 5.549 5.598
angles (deg): 90.00 90.00 90.00
Space group P4/mmm (No. 123)
Asymmetric unit:
K (0.000, 0.000, 0.000) [1 per cell]
B (0.500, 0.500, 0.500) [1 per cell]
As (0.000, 0.500, 0.000) [2 per cell]
Se (0.000, 0.000, 0.500) [1 per cell]



No. 2
## HgPtRh (GGA-PBE)

Data for a relaxed structure of HgPtRh.

Output
The formation energy comes out at 179.4 meV per atom. The calculation puts the mass density at 16.395 Mg/m³. Its volume is 16.83 Å³/atom.

a b c (Å): 2.9110 2.9110 6.8813
angles (deg): 90.00 90.00 120.00
Space group P3m1 (No. 156)
Asymmetric unit:
Hg (0.0000, 0.0000, 0.0000) [1 per cell]
Pt (0.3333, 0.6667, 0.3487) [1 per cell]
Rh (0.6667, 0.3333, 0.6625) [1 per cell]



No. 3
## Pr3Nd2Er5 (GGA-PBE)

Data for a relaxed structure of Pr3Nd2Er5.

Output
The formation energy comes out at 177.2 meV per atom. The calculation puts the mass density at 7.649 Mg/m³. Its volume is 33.59 Å³/atom.

a b c (Å): 10.640 16.454 9.337
angles (deg): 90.00 124.71 90.00
Space group C2/c (No. 15)
Asymmetric unit:
Pr (0.000, 0.232, 0.250) [4 per cell]
Pr (0.148, 0.124, 0.047) [8 per cell]
Nd (0.148, 0.381, 0.545) [8 per cell]
Er (0.000, 0.026, 0.250) [4 per cell]
Er (0.000, 0.273, 0.750) [4 per cell]
Er (0.000, 0.472, 0.750) [4 per cell]
Er (0.248, 0.386, 0.242) [8 per cell]



No. 4
## Na2Sr3Hg4 (GGA-PBE)

Data for a relaxed structure of Na2Sr3Hg4.

Output
The formation energy comes out at -355.2 meV per atom. The calculation puts the mass density at 6.232 Mg/m³. Its volume is 32.90 Å³/atom.

a b c (Å): 11.692 4.862 10.419
angles (deg): 90.00 91.19 90.00
Space group C2/m (No. 12)
Asymmetric unit:
Na (0.174, 0.000, 0.280) [4 per cell]
Sr (0.000, 0.500, 0.500) [2 per cell]
Sr (0.129, 0.000, 0.884) [4 per cell]
Hg (0.081, 0.500, 0.125) [4 per cell]
Hg (0.200, 0.000, 0.578) [4 per cell]



No. 5
## PrTm2Ag (GGA-PBE)

Data for a relaxed structure of PrTm2Ag.

Output
The formation energy comes out at 22.4 meV per atom. The calculation puts the mass density at 8.751 Mg/m³. Its volume is 27.83 Å³/atom.

a b c (Å): 4.783 4.783 4.865
angles (deg): 90.00 90.00 90.00
Space group P4/mmm (No. 123)
Asymmetric unit:
Pr (0.000, 0.000, 0.000) [1 per cell]
Tm (0.000, 0.500, 0.500) [2 per cell]
Ag (0.500, 0.500, 0.000) [1 per cell]



No. 6
## Cs2LiTeBr6 (GGA-PBE)

Data for a relaxed structure of Cs2LiTeBr6.

Output
The calculation puts the uncorrected formation energy at -1097 meV/atom. The calculation puts the mass density at 3.819 Mg/m³. Its volume is 38.25 Å³/atom.

a b c (Å): 7.9345 7.9345 42.0945
angles (deg): 90.00 90.00 120.00
Space group R-3m (No. 166, hexagonal axes)
Asymmetric unit:
Cs (0.0000, 0.0000, 0.1169) [6 per cell]
Cs (0.0000, 0.0000, 0.3049) [6 per cell]
Li (0.0000, 0.0000, 0.4110) [6 per cell]
Te (0.0000, 0.0000, 0.0000) [3 per cell]
Te (0.0000, 0.0000, 0.5000) [3 per cell]
Br (0.0038, 0.5019, 0.2863) [18 per cell]
Br (0.0128, 0.5064, 0.1282) [18 per cell]



No. 7
## CaY2SnH (GGA-PBE)

Data for a relaxed structure of CaY2SnH.

Output
The calculation puts the mass density at 4.869 Mg/m³. Its volume is 23.03 Å³/atom. The calculation puts the final energy at -4.89 eV per atom.

a b c (Å): 4.853 4.853 4.889
angles (deg): 90.00 90.00 90.00
Space group P4/mmm (No. 123)
Asymmetric unit:
Ca (0.000, 0.000, 0.000) [1 per cell]
Y (0.000, 0.500, 0.500) [2 per cell]
Sn (0.500, 0.500, 0.000) [1 per cell]
H (0.000, 0.000, 0.500) [1 per cell]



No. 8
## Na3NpNi2Se6 (GGA-PBE)

Data for a relaxed structure of Na3NpNi2Se6.

Output
The calculation puts the uncorrected formation energy at -732 meV/atom. The calculation puts the mass density at 5.728 Mg/m³. Its volume is 21.67 Å³/atom.

a b c (Å): 6.496 11.231 7.457
angles (deg): 90.00 107.01 90.00
Space group C2/m (No. 12)
Asymmetric unit:
Na (0.000, 0.000, 0.000) [2 per cell]
Na (0.000, 0.342, 0.000) [4 per cell]
Np (0.000, 0.500, 0.500) [2 per cell]
Ni (0.000, 0.167, 0.500) [4 per cell]
Se (0.205, 0.000, 0.705) [4 per cell]
Se (0.249, 0.182, 0.293) [8 per cell]



No. 9
## Ca2InPt (GGA-PBE)

Data for a relaxed structure of Ca2InPt.

Output
The formation energy comes out at -516.9 meV per atom. The calculation puts the mass density at 7.174 Mg/m³. Its volume is 22.57 Å³/atom.

a b c (Å): 5.042 5.042 7.104
angles (deg): 90.00 90.00 90.00
Space group I-4m2 (No. 119)
Asymmetric unit:
Ca (0.000, 0.000, 0.000) [2 per cell]
Ca (0.000, 0.500, 0.250) [2 per cell]
In (0.000, 0.000, 0.500) [2 per cell]
Pt (0.000, 0.500, 0.750) [2 per cell]



No. 10
## GeBiS2 (GGA-PBE)

Data for a relaxed structure of GeBiS2.

Output
The calculation puts the uncorrected formation energy at -141 meV/atom. The calculation puts the mass density at 6.016 Mg/m³. Its volume is 23.86 Å³/atom.

a b c (Å): 3.6199 3.6199 25.2292
angles (deg): 90.00 90.00 120.00
Space group R-3m (No. 166, hexagonal axes)
Asymmetric unit:
Ge (0.0000, 0.0000, 0.0000) [3 per cell]
Bi (0.0000, 0.0000, 0.5000) [3 per cell]
S (0.0000, 0.0000, 0.3901) [6 per cell]



No. 11
## Pa2Bi3Sb (GGA-PBE)

Data for a relaxed structure of Pa2Bi3Sb.

Output
The calculation puts the uncorrected formation energy at -269 meV/atom. The calculation puts the mass density at 11.360 Mg/m³. Its volume is 29.50 Å³/atom.

a b c (Å): 4.449 4.449 8.943
angles (deg): 90.00 90.00 90.00
Space group P-4m2 (No. 115)
Asymmetric unit:
Pa (0.000, 0.500, 0.227) [2 per cell]
Bi (0.000, 0.500, 0.860) [2 per cell]
Bi (0.500, 0.500, 0.500) [1 per cell]
Sb (0.000, 0.000, 0.500) [1 per cell]



No. 12
## Rb3I6Cl (GGA-PBE)

Data for a relaxed structure of Rb3I6Cl.

Output
The calculation puts the uncorrected formation energy at -583 meV/atom. The calculation puts the mass density at 3.225 Mg/m³. Its volume is 54.23 Å³/atom.

a b c (Å): 9.445 9.445 12.158
angles (deg): 90.00 90.00 90.00
Space group I4/mmm (No. 139)
Asymmetric unit:
Rb (0.000, 0.000, 0.000) [2 per cell]
Rb (0.000, 0.500, 0.250) [4 per cell]
I (0.000, 0.000, 0.283) [4 per cell]
I (0.243, 0.243, 0.500) [8 per cell]
Cl (0.000, 0.000, 0.500) [2 per cell]



No. 13
## TlMoIr2 (GGA-PBE)

Data for a relaxed structure of TlMoIr2.

Output
The formation energy comes out at 343.8 meV per atom. The calculation puts the mass density at 17.019 Mg/m³. Its volume is 16.70 Å³/atom.

a b c (Å): 9.436 2.907 4.948
angles (deg): 90.00 100.14 90.00
Space group Cm (No. 8)
Asymmetric unit:
Tl (0.000, 0.000, 0.000) [2 per cell]
Mo (0.263, 0.500, 0.314) [2 per cell]
Ir (0.001, 0.500, 0.492) [2 per cell]
Ir (0.245, 0.000, 0.771) [2 per cell]



No. 14
## Ti2GeS (GGA-PBE)

Data for a relaxed structure of Ti2GeS.

Output
The calculation puts the uncorrected formation energy at -511 meV/atom. The calculation puts the mass density at 5.341 Mg/m³. Its volume is 15.58 Å³/atom.

a b c (Å): 6.294 6.294 6.294
angles (deg): 90.00 90.00 90.00
Space group Fm-3m (No. 225)
Asymmetric unit:
Ti (0.250, 0.250, 0.250) [8 per cell]
Ge (0.000, 0.000, 0.000) [4 per cell]
S (0.000, 0.000, 0.500) [4 per cell]



No. 15
## ZnCuRh2 (GGA-PBE)

Data for a relaxed structure of ZnCuRh2.

Output
The formation energy comes out at -128.9 meV per atom. The calculation puts the mass density at 10.145 Mg/m³. Its volume is 13.70 Å³/atom.

a b c (Å): 8.646 2.736 4.715
angles (deg): 90.00 100.67 90.00
Space group C2/m (No. 12)
Asymmetric unit:
Zn (0.000, 0.000, 0.000) [2 per cell]
Cu (0.000, 0.500, 0.500) [2 per cell]
Rh (0.249, 0.500, 0.252) [4 per cell]



No. 16
## ReRuS2 (GGA-PBE)

Data for a relaxed structure of ReRuS2.

Output
The calculation puts the uncorrected formation energy at 296 meV/atom. The calculation puts the mass density at 10.979 Mg/m³. Its volume is 13.29 Å³/atom.

a b c (Å): 5.968 5.968 5.968
angles (deg): 90.00 90.00 90.00
Space group Fm-3m (No. 225)
Asymmetric unit:
Re (0.000, 0.000, 0.000) [4 per cell]
Ru (0.000, 0.000, 0.500) [4 per cell]
S (0.250, 0.250, 0.250) [8 per cell]



No. 17
## MgSc (GGA-PBE)

Data for a relaxed structure of MgSc.

Output
The formation energy comes out at 119.4 meV per atom. The calculation puts the mass density at 2.361 Mg/m³. Its volume is 24.35 Å³/atom.

a b c (Å): 3.222 14.500 6.255
angles (deg): 90.00 90.00 90.00
Space group Imm2 (No. 44)
Asymmetric unit:
Mg (0.000, 0.000, 0.000) [2 per cell]
Mg (0.000, 0.353, 0.234) [4 per cell]
Sc (0.000, 0.000, 0.476) [2 per cell]
Sc (0.000, 0.331, 0.736) [4 per cell]



No. 18
## ThMgOs2 (GGA-PBE)

Data for a relaxed structure of ThMgOs2.

Output
The formation energy comes out at 103.3 meV per atom. The calculation puts the mass density at 13.903 Mg/m³. Its volume is 19.01 Å³/atom.

a b c (Å): 6.726 6.726 6.726
angles (deg): 90.00 90.00 90.00
Space group Fm-3m (No. 225)
Asymmetric unit:
Th (0.000, 0.000, 0.000) [4 per cell]
Mg (0.000, 0.000, 0.500) [4 per cell]
Os (0.250, 0.250, 0.250) [8 per cell]



No. 19
## Pm2Bi3Rh4 (GGA-PBE)

Data for a relaxed structure of Pm2Bi3Rh4.

Output
The formation energy comes out at -497.2 meV per atom. The calculation puts the mass density at 11.194 Mg/m³. Its volume is 21.90 Å³/atom.

a b c (Å): 6.280 16.835 7.457
angles (deg): 90.00 90.00 90.00
Space group Cmce (No. 64)
Asymmetric unit:
Pm (0.000, 0.099, 0.089) [8 per cell]
Bi (0.000, 0.000, 0.500) [4 per cell]
Bi (0.250, 0.238, 0.750) [8 per cell]
Rh (0.000, 0.164, 0.479) [8 per cell]
Rh (0.250, 0.072, 0.750) [8 per cell]



No. 20
## LiSbPb2 (GGA-PBE)

Data for a relaxed structure of LiSbPb2.

Output
The calculation puts the uncorrected formation energy at -61 meV/atom. The calculation puts the mass density at 7.975 Mg/m³. Its volume is 28.27 Å³/atom.

a b c (Å): 3.488 5.831 5.563
angles (deg): 90.00 91.60 90.00
Space group P2/m (No. 10)
Asymmetric unit:
Li (0.000, 0.000, 0.000) [1 per cell]
Sb (0.500, 0.000, 0.500) [1 per cell]
Pb (0.266, 0.500, 0.247) [2 per cell]